# 1
A plane-wave DFT calculation with GGA-PBE was carried out for a relaxed structure of CdSbBr2.

Unit cell a=11.2446 b=11.2446 c=8.4601 alpha=48.35 beta=48.35 gamma=90.00
Closest atoms and distances in Å follow each position.
Element x y z (fractional)
Br: 0.3750 0.1267 0.7500  2 Sb 2.90
Br: 0.8767 0.6250 0.2500  2 Sb 2.90
Br: 0.8750 0.1233 0.7500  2 Sb 2.90
Br: 0.8733 0.1250 0.2500  2 Sb 2.90
Cd: 0.2500 0.7500 0.5000  2 Sb 2.89
Cd: 0.5000 0.5000 0.0000  2 Sb 2.89
Sb: 0.7500 0.2500 0.5000  2 Cd 2.89, 4 Br 2.90
Sb: 0.0000 0.0000 0.0000  2 Cd 2.89, 4 Br 2.90

Values from the calculation:
SG = No. 122
Distance to the lowest polymorph of the same formula = 140 meV per atom

***

# 2
A plane-wave DFT calculation with GGA-PBE was carried out for a relaxed structure of Ca2InAgHg4.

Unit cell a=5.1383 b=5.1383 c=9.0012 alpha=73.42 beta=73.42 gamma=60.00
Closest atoms and distances in Å follow each position.
Element x y z (fractional)
Hg: 0.1281 0.1281 0.6156  4 Ca 3.12-3.18, 3 Ag 3.12, 1 In 3.27
Hg: 0.3787 0.3787 0.8640  1 Ag 3.09, 4 Ca 3.12-3.27, 3 In 3.18
Hg: 0.8719 0.8719 0.3844  4 Ca 3.12-3.18, 3 Ag 3.12, 1 In 3.27
Hg: 0.6213 0.6213 0.1360  1 Ag 3.09, 4 Ca 3.12-3.27, 3 In 3.18
Ca: 0.7494 0.7494 0.7518  8 Hg 3.12-3.27
Ca: 0.2506 0.2506 0.2482  8 Hg 3.12-3.27
In: 0.0000 0.0000 0.0000  8 Hg 3.18-3.27
Ag: 0.5000 0.5000 0.5000  8 Hg 3.09-3.12

Values from the calculation:
Formation energy = -352 meV/atom
SG = No. 166

***

# 3
A plane-wave DFT calculation with GGA-PBE was carried out for a relaxed structure of KAsW2.

Unit cell a=2.6699 b=5.1884 c=5.9459 alpha=90.00 beta=90.00 gamma=90.00
Closest atoms and distances in Å follow each position.
Element x y z (fractional)
As: 0.5000 0.0000 0.5000  2 As 2.67, 4 K 2.92
W: 0.5000 0.5000 0.0000  6 W 2.67-2.92
W: 0.0000 0.0000 0.0000  6 W 2.67-2.92
K: 0.0000 0.5000 0.5000  2 K 2.67, 4 As 2.92

Values from the calculation:
Formation energy = 1366 meV/atom
SG = No. 47

***

Theoretical density values, unit g/cm3, following the record order: 3.6 9.4 9.7.